[1]
The following is a PBE calculation of DyPuSb after structural relaxation, from the Alexandria database.

Geometry as CIF:
```
data_DyPuSb
_space_group_name_H-M_alt 'P 1'
_space_group_IT_number 1
_space_group_name_Hall 'P 1'
_cell_length_a 4.319
_cell_length_b 4.319
_cell_length_c 8.749
_cell_angle_alpha 90.00
_cell_angle_beta 90.00
_cell_angle_gamma 90.00
loop_
_atom_site_label
_atom_site_type_symbol
_atom_site_fract_x
_atom_site_fract_y
_atom_site_fract_z
_atom_site_occupancy
Dy1 Dy 0.500 0.000 0.644 1
Dy2 Dy 0.000 0.500 0.356 1
Pu1 Pu 0.000 0.000 0.000 1
Pu2 Pu 0.500 0.500 0.000 1
Sb1 Sb 0.000 0.500 0.713 1
Sb2 Sb 0.500 0.000 0.287 1
```

Computed properties:
E_form (uncorrected) (eV per atom): -0.699
DOS(E_F) (states/eV/cell): 12.03
Symmetry: P4/nmm, No. 129

=====

[2]
The following is a PBE calculation of K2Ca2TeO6 after structural relaxation, from the Alexandria database.

Geometry as CIF:
```
data_K2Ca2TeO6
_space_group_name_H-M_alt 'P 1'
_space_group_IT_number 1
_space_group_name_Hall 'P 1'
_cell_length_a 5.801
_cell_length_b 5.801
_cell_length_c 6.607
_cell_angle_alpha 98.81
_cell_angle_beta 98.81
_cell_angle_gamma 118.52
loop_
_atom_site_label
_atom_site_type_symbol
_atom_site_fract_x
_atom_site_fract_y
_atom_site_fract_z
_atom_site_occupancy
K1 K 0.829 0.171 0.000 1
K2 K 0.171 0.829 0.000 1
Ca1 Ca 0.336 0.664 0.500 1
Ca2 Ca 0.664 0.336 0.500 1
Te1 Te 0.000 0.000 0.500 1
O1 O 0.782 0.782 0.676 1
O2 O 0.053 0.342 0.674 1
O3 O 0.218 0.218 0.324 1
O4 O 0.342 0.053 0.674 1
O5 O 0.947 0.658 0.326 1
O6 O 0.658 0.947 0.326 1
```

Computed properties:
E_form (uncorrected) (eV per atom): -2.031
DOS(E_F) (states/eV/cell): 0.00
Symmetry: C2/m, No. 12

=====

[3]
The following is a PBE calculation of P2HIrCl after structural relaxation, from the Alexandria database.

Geometry as CIF:
```
data_P2HIrCl
_space_group_name_H-M_alt 'P 1'
_space_group_IT_number 1
_space_group_name_Hall 'P 1'
_cell_length_a 4.508
_cell_length_b 4.508
_cell_length_c 5.378
_cell_angle_alpha 90.00
_cell_angle_beta 90.00
_cell_angle_gamma 90.00
loop_
_atom_site_label
_atom_site_type_symbol
_atom_site_fract_x
_atom_site_fract_y
_atom_site_fract_z
_atom_site_occupancy
P1 P 0.000 0.500 0.000 1
P2 P 0.500 0.000 0.000 1
Ir1 Ir 0.000 0.000 0.000 1
H1 H 0.500 0.500 0.500 1
Cl1 Cl 0.000 0.000 0.500 1
```

Computed properties:
DOS(E_F) (states/eV/cell): 3.44
Symmetry: P4/mmm, No. 123
ΔE to the lowest computed polymorph (kcal/mol of atoms): 0.000

=====

- Among the records above, which one has the lowest DOS(E_F)?
  K2Ca2TeO6

=====

- Look up the DOS(E_F) of the first one.
  12.03 states/eV/cell

=====

- Which of these has the highest DOS(E_F)?
  DyPuSb